# AgPSe2 (PBE-GGA, relaxed)
data_AgPSe2
_chemical_formula_sum 'Ag4 P4 Se8'
_cell_length_a 4.920
_cell_length_b 7.253
_cell_length_c 13.003
_cell_angle_alpha 90.00
_cell_angle_beta 90.00
_cell_angle_gamma 90.00
_space_group_name_H-M_alt 'P 1'
_space_group_IT_number 1
_space_group_name_Hall 'P 1'
loop_
_atom_site_label
_atom_site_type_symbol
_atom_site_fract_x
_atom_site_fract_y
_atom_site_fract_z
_atom_site_occupancy
Ag1 Ag 0.370 0.519 0.185 1
Ag2 Ag 0.630 0.019 0.315 1
Ag3 Ag 0.870 0.981 0.815 1
Ag4 Ag 0.130 0.481 0.685 1
Se1 Se 0.118 0.439 0.004 1
Se2 Se 0.699 0.670 0.734 1
Se3 Se 0.882 0.939 0.496 1
Se4 Se 0.301 0.170 0.766 1
Se5 Se 0.618 0.061 0.996 1
Se6 Se 0.199 0.830 0.266 1
Se7 Se 0.382 0.561 0.504 1
Se8 Se 0.801 0.330 0.234 1
P1 P 0.021 0.680 0.404 1
P2 P 0.479 0.320 0.904 1
P3 P 0.521 0.820 0.596 1
P4 P 0.979 0.180 0.096 1
# - electronic total energy (eV/f.u.) = -15.4
# - theoretical density (g/cm³) = 4.25